VASP calculation (GGA-PBE) on a geometry-optimized NaTlSn2 structure.

Unit cell a=5.4335 b=5.4335 c=5.4335 alpha=60.00 beta=60.00 gamma=60.00
Atoms (fractional coordinates):
Na (0.0000, 0.0000, 0.0000)
Tl (0.7500, 0.7500, 0.7500)
Sn (0.2500, 0.2500, 0.2500)
Sn (0.5000, 0.5000, 0.5000)

**Symmetry**: F-43m, No. 216
**DFT formation energy**: -0.083 eV/atom
**Calculated density**: 6.8 g cm⁻³
**Polymorph energy (0 for the lowest one)**: 8 meV per atom
**VASP energy**: -12.0 eV per cell